[1]
# HoLu2In3Pt2Au

A relaxed HoLu2In3Pt2Au crystal (PBE, OQMD via LeMat-Bulk).

Output
Energy, eV per atom: -5.04

Unit cell a=3.7313 b=7.7604 c=7.7604 alpha=120.22 beta=90.00 gamma=90.00
Last column: nearest neighbours and their distance in Å.
Sites, in units of the cell vectors:
Lu  0.0000  0.5948  0.0002  4 Pt 2.99, 6 In 3.12-3.35, 1 Au 3.14
In  0.5000  0.9998  0.2718  2 Au 2.82, 2 Pt 2.83-2.86, 2 Lu 3.12
Au  0.0000  0.9985  0.9985  6 In 2.80-2.82
Pt  0.5000  0.6692  0.3324  3 In 2.83-2.87, 4 Lu 2.99, 2 Ho 3.03
Ho  0.0000  0.4051  0.4051  4 Pt 3.03, 6 In 3.12-3.34, 1 Au 3.14
In  0.5000  0.2718  0.9998  2 Au 2.82, 2 Pt 2.83-2.86, 2 Lu 3.12
Pt  0.5000  0.3324  0.6692  3 In 2.83-2.87, 4 Lu 2.99, 2 Ho 3.03
Lu  0.0000  0.0002  0.5948  4 Pt 2.99, 6 In 3.12-3.35, 1 Au 3.14
In  0.5000  0.7282  0.7282  2 Au 2.80, 2 Pt 2.87, 2 Ho 3.12

=====

[2]
# ErPuMg

A relaxed ErPuMg crystal (PBE, OQMD via LeMat-Bulk).

Output
E above lowest polymorph, eV per atom: 0.0000

Unit cell a=5.1806 b=5.1806 c=5.1806 alpha=60.00 beta=60.00 gamma=60.00
Last column: nearest neighbours and their distance in Å.
Sites, in units of the cell vectors:
Mg  0.0000  0.0000  0.0000  4 Er 3.17, 4 Pu 3.17
Pu  0.7500  0.7500  0.7500  4 Mg 3.17
Er  0.2500  0.2500  0.2500  4 Mg 3.17

=====

[3]
# ErMgAuSe2S

A relaxed ErMgAuSe2S crystal (PBE, OQMD via LeMat-Bulk).

Output
Energy, eV per atom: -4.45

Unit cell a=6.8062 b=6.8062 c=10.4558 alpha=90.00 beta=90.00 gamma=147.23
Last column: nearest neighbours and their distance in Å.
Sites, in units of the cell vectors:
S  0.3868  0.6132  0.2500  2 Au 2.59, 2 Mg 2.67
Se  0.1527  0.8473  0.4328  1 Au 2.58, 2 Er 2.86
Se  0.1527  0.8473  0.0672  1 Au 2.58, 2 Er 2.86
Mg  0.7446  0.2554  0.2500  2 S 2.67, 4 Se 2.96
Se  0.8473  0.1527  0.5672  1 Au 2.58, 2 Er 2.86
Au  0.0201  0.9799  0.2500  2 Se 2.58, 2 S 2.59
Au  0.9799  0.0201  0.7500  2 Se 2.58, 2 S 2.59
Er  0.5000  0.5000  0.5000  4 Se 2.86, 2 S 3.00
Se  0.8473  0.1527  0.9328  1 Au 2.58, 2 Er 2.86
Mg  0.2554  0.7446  0.7500  2 S 2.67, 4 Se 2.96
Er  0.5000  0.5000  0.0000  4 Se 2.86, 2 S 3.00
S  0.6132  0.3868  0.7500  2 Au 2.59, 2 Mg 2.67

=====

Record-wise magnetic moment values, in μB/cell: 0.003; 7.400; 0.013